# 1
Below is an optimized crystal structure of BiPb3O7, with properties calculated at the GGA-PBE level.

Cell lengths 6.7923, 6.7923, 7.9142 Å; angles 90.00, 90.00, 109.82 degrees
Last column: nearest neighbours and their distance in Å.
Sites, in units of the cell vectors:
Bi  0.9999  0.9999  0.5000  6 O 2.14-2.16
Bi  0.0001  0.0001  0.0000  6 O 2.14-2.16
Pb  0.4996  0.4996  0.5000  8 O 2.62-2.78
Pb  0.5004  0.5004  0.0000  8 O 2.62-2.78
Pb  0.5215  0.9983  0.2501  4 O 2.18-2.31
Pb  0.4785  0.0017  0.7501  4 O 2.18-2.31
Pb  0.9983  0.5215  0.7499  4 O 2.18-2.31
Pb  0.0017  0.4785  0.2499  4 O 2.18-2.31
O  0.6673  0.9322  0.5287  1 Bi 2.16, 1 Pb 2.31
O  0.3327  0.0678  0.0287  1 Bi 2.16, 1 Pb 2.31
O  0.9322  0.6673  0.4713  1 Bi 2.16, 1 Pb 2.31
O  0.0678  0.3327  0.9713  1 Bi 2.16, 1 Pb 2.31
O  0.0680  0.3327  0.5288  1 Bi 2.16, 1 Pb 2.31
O  0.9320  0.6673  0.0288  1 Bi 2.16, 1 Pb 2.31
O  0.3327  0.0680  0.4712  1 Bi 2.16, 1 Pb 2.31
O  0.6673  0.9320  0.9712  1 Bi 2.16, 1 Pb 2.31
O  0.3459  0.6541  0.2500  2 Pb 2.24
O  0.6541  0.3459  0.7500  2 Pb 2.24
O  0.6614  0.3386  0.2500  2 Pb 2.18
O  0.3386  0.6614  0.7500  2 Pb 2.18
O  0.9267  0.0733  0.2500  2 Bi 2.14
O  0.0733  0.9267  0.7500  2 Bi 2.14

Calculated values
Raw formation energy, meV per atom: -914.1
N(E_F), states/eV/f.u.: 1.5

# 2
Below is an optimized crystal structure of KPtW2, with properties calculated at the GGA-PBE level.

Cell lengths 4.6643, 4.6643, 4.6643 Å; angles 60.00, 60.00, 60.00 degrees
Last column: nearest neighbours and their distance in Å.
Sites, in units of the cell vectors:
K  0.5000  0.5000  0.5000  4 W 2.86, 4 Pt 2.86
Pt  0.7500  0.7500  0.7500  4 K 2.86, 4 W 2.86
W  0.0000  0.0000  0.0000  4 W 2.86, 4 Pt 2.86
W  0.2500  0.2500  0.2500  4 W 2.86, 4 K 2.86

Calculated values
N(E_F), states/eV/f.u.: 4.1
ΔH_f (0 K), eV/atom: 1.28